This record from the Alexandria database describes a relaxed Tm6ZnCo2 crystal. The functional is PBE.

Calculated values
For the total energy, the calculation gives -4.947 eV per atom.

POSCAR file:
```
Tm6ZnCo2
1.0
8.141 0.022 -0.045
-3.064 7.542 0.045
-2.758 -3.635 6.742
Tm Zn Co
12 2 4
direct
0.541 0.721 0.820
0.459 0.279 0.180
0.099 0.279 0.820
0.901 0.721 0.180
0.805 0.760 0.565
0.195 0.240 0.435
0.195 0.760 0.955
0.805 0.240 0.045
0.688 0.362 0.675
0.312 0.638 0.325
0.312 0.987 0.675
0.688 0.013 0.325
0.000 0.500 0.500
0.000 0.000 0.000
0.500 0.384 0.884
0.500 0.616 0.116
0.664 0.000 0.664
0.336 0.000 0.336
```

***

This record from the Alexandria database describes a relaxed CsRbIrO4 crystal. The functional is PBE.

Calculated values
As for the energy relative to the elements, uncorrected: -1044 meV/atom.

POSCAR file:
```
CsRbIrO4
1.0
6.719 0.000 0.000
0.000 6.719 0.000
-3.359 -3.359 3.938
Cs Rb Ir O
1 1 1 4
direct
0.000 0.000 0.000
0.500 0.500 0.000
0.250 0.750 0.500
0.059 0.945 0.502
0.442 0.941 0.498
0.444 0.558 0.502
0.055 0.556 0.498
```

***

| no. | DOS at the Fermi energy (states/eV/cell) |
| --- | --- |
| 1 | 19.64 |
| 2 | 6.34 |